# Hf4Nb2As3N3 PBE optimized geometry
# Magnetic moment: 0.0 μB per formula unit
# Space-group type: C2/c
# E_tot: -0.6897 Ry per atom
data_Hf4Nb2As3N3
_symmetry_space_group_name_H-M 'P 1'
_symmetry_Int_Tables_number 1
_cell_length_a 5.870
_cell_length_b 5.870
_cell_length_c 12.509
_cell_angle_alpha 103.47
_cell_angle_beta 103.47
_cell_angle_gamma 59.98
loop_
_symmetry_equiv_pos_as_xyz
'x,y,z'
loop_
_atom_site_label
_atom_site_fract_x
_atom_site_fract_y
_atom_site_fract_z
Hf1 0.023 0.207 0.097
Hf2 0.142 0.301 0.403
Hf3 0.207 0.023 0.597
Hf4 0.301 0.142 0.903
Hf5 0.699 0.858 0.097
Hf6 0.793 0.977 0.403
Hf7 0.858 0.699 0.597
Hf8 0.977 0.793 0.903
Nb1 0.375 0.531 0.090
Nb2 0.469 0.625 0.410
Nb3 0.531 0.375 0.590
Nb4 0.625 0.469 0.910
As1 0.096 0.904 0.250
As2 0.264 0.416 0.748
As3 0.416 0.264 0.248
As4 0.584 0.736 0.752
As5 0.736 0.584 0.252
As6 0.904 0.096 0.750
N1 0.000 0.500 0.000
N2 0.142 0.678 0.500
N3 0.322 0.858 0.000
N4 0.500 0.000 0.500
N5 0.678 0.142 0.000
N6 0.858 0.322 0.500

=====

# Hf4NiAsN2 PBE optimized geometry
# Magnetic moment: 0.0 μB per formula unit
# Space-group type: P-6m2
# E_tot: -0.6933 Ry per atom
data_Hf4NiAsN2
_symmetry_space_group_name_H-M 'P 1'
_symmetry_Int_Tables_number 1
_cell_length_a 3.289
_cell_length_b 3.289
_cell_length_c 12.665
_cell_angle_alpha 90.00
_cell_angle_beta 90.00
_cell_angle_gamma 120.00
loop_
_symmetry_equiv_pos_as_xyz
'x,y,z'
loop_
_atom_site_label
_atom_site_fract_x
_atom_site_fract_y
_atom_site_fract_z
Hf1 0.000 0.000 0.149
Hf2 0.000 0.000 0.851
Hf3 0.333 0.667 0.348
Hf4 0.333 0.667 0.652
Ni1 0.333 0.667 0.000
As1 0.000 0.000 0.500
N1 0.667 0.333 0.250
N2 0.667 0.333 0.750

=====

# Hf4Ni2AsN PBE optimized geometry
# Magnetic moment: 0.0 μB per formula unit
# Space-group type: Pm
# E_tot: -0.6383 Ry per atom
data_Hf4Ni2AsN
_symmetry_space_group_name_H-M 'P 1'
_symmetry_Int_Tables_number 1
_cell_length_a 5.413
_cell_length_b 3.395
_cell_length_c 7.432
_cell_angle_alpha 90.00
_cell_angle_beta 107.31
_cell_angle_gamma 90.00
loop_
_symmetry_equiv_pos_as_xyz
'x,y,z'
loop_
_atom_site_label
_atom_site_fract_x
_atom_site_fract_y
_atom_site_fract_z
Hf1 0.000 0.000 0.000
Hf2 0.044 0.000 0.421
Hf3 0.402 0.500 0.807
Hf4 0.490 0.500 0.301
Ni1 0.557 0.000 0.071
Ni2 0.916 0.500 0.682
As1 0.594 0.000 0.595
N1 0.076 0.500 0.229

=====

# Hf4NiAsN2 PBE optimized geometry
# Magnetic moment: 0.0 μB per formula unit
# Space-group type: P-6m2
# E_tot: -0.6933 Ry per atom
data_Hf4NiAsN2
_symmetry_space_group_name_H-M 'P 1'
_symmetry_Int_Tables_number 1
_cell_length_a 3.289
_cell_length_b 3.289
_cell_length_c 12.665
_cell_angle_alpha 90.00
_cell_angle_beta 90.00
_cell_angle_gamma 120.00
loop_
_symmetry_equiv_pos_as_xyz
'x,y,z'
loop_
_atom_site_label
_atom_site_fract_x
_atom_site_fract_y
_atom_site_fract_z
Hf1 0.000 0.000 0.149
Hf2 0.000 0.000 0.851
Hf3 0.667 0.333 0.348
Hf4 0.667 0.333 0.652
Ni1 0.667 0.333 0.000
As1 0.000 0.000 0.500
N1 0.333 0.667 0.250
N2 0.333 0.667 0.750

=====

# HfAsNO PBE optimized geometry
# Magnetic moment: 0.0 μB per formula unit
# Space-group type: P4/nmm
# Relative energy among the computed polymorphs: 2.91 eV/f.u.
data_HfAsNO
_symmetry_space_group_name_H-M 'P 1'
_symmetry_Int_Tables_number 1
_cell_length_a 4.563
_cell_length_b 4.563
_cell_length_c 4.573
_cell_angle_alpha 90.00
_cell_angle_beta 90.00
_cell_angle_gamma 90.00
loop_
_symmetry_equiv_pos_as_xyz
'x,y,z'
loop_
_atom_site_label
_atom_site_fract_x
_atom_site_fract_y
_atom_site_fract_z
Hf1 0.250 0.750 0.000
Hf2 0.750 0.250 0.000
As1 0.250 0.250 0.452
As2 0.750 0.750 0.548
N1 0.250 0.250 0.874
N2 0.750 0.750 0.126
O1 0.250 0.750 0.500
O2 0.750 0.250 0.500

=====

# HfAsNO PBE optimized geometry
# Magnetic moment: 0.0 μB per formula unit
# Space-group type: Pmc2_1
# Relative energy among the computed polymorphs: 0.91 eV/f.u.
data_HfAsNO
_symmetry_space_group_name_H-M 'P 1'
_symmetry_Int_Tables_number 1
_cell_length_a 3.540
_cell_length_b 6.653
_cell_length_c 5.541
_cell_angle_alpha 90.00
_cell_angle_beta 90.00
_cell_angle_gamma 90.00
loop_
_symmetry_equiv_pos_as_xyz
'x,y,z'
loop_
_atom_site_label
_atom_site_fract_x
_atom_site_fract_y
_atom_site_fract_z
Hf1 0.000 0.204 0.000
Hf2 0.000 0.796 0.500
As1 0.500 0.360 0.461
As2 0.500 0.640 0.961
N1 0.500 0.358 0.932
N2 0.500 0.642 0.432
O1 0.000 0.012 0.740
O2 0.000 0.988 0.240

=====

# HfAsNO PBE optimized geometry
# Magnetic moment: 0.0 μB per formula unit
# Space-group type: Pca2_1
# Relative energy among the computed polymorphs: 0.00 eV/f.u.
data_HfAsNO
_symmetry_space_group_name_H-M 'P 1'
_symmetry_Int_Tables_number 1
_cell_length_a 5.299
_cell_length_b 8.045
_cell_length_c 5.464
_cell_angle_alpha 90.00
_cell_angle_beta 90.00
_cell_angle_gamma 90.00
loop_
_symmetry_equiv_pos_as_xyz
'x,y,z'
loop_
_atom_site_label
_atom_site_fract_x
_atom_site_fract_y
_atom_site_fract_z
Hf1 0.056 0.106 0.000
Hf2 0.444 0.106 0.500
Hf3 0.556 0.894 0.000
Hf4 0.944 0.894 0.500
As1 0.244 0.504 0.744
As2 0.256 0.504 0.244
As3 0.744 0.496 0.744
As4 0.756 0.496 0.244
N1 0.249 0.947 0.751
N2 0.251 0.947 0.251
N3 0.749 0.053 0.751
N4 0.751 0.053 0.251
O1 0.242 0.277 0.744
O2 0.258 0.277 0.244
O3 0.742 0.723 0.744
O4 0.758 0.723 0.244

=====

# HfAsNO PBE optimized geometry
# Magnetic moment: 0.0 μB per formula unit
# Space-group type: P4/nmm
# Relative energy among the computed polymorphs: 3.30 eV/f.u.
data_HfAsNO
_symmetry_space_group_name_H-M 'P 1'
_symmetry_Int_Tables_number 1
_cell_length_a 4.222
_cell_length_b 4.222
_cell_length_c 6.063
_cell_angle_alpha 90.00
_cell_angle_beta 90.00
_cell_angle_gamma 90.00
loop_
_symmetry_equiv_pos_as_xyz
'x,y,z'
loop_
_atom_site_label
_atom_site_fract_x
_atom_site_fract_y
_atom_site_fract_z
Hf1 0.250 0.750 0.000
Hf2 0.750 0.250 0.000
As1 0.250 0.250 0.433
As2 0.750 0.750 0.567
N1 0.250 0.250 0.902
N2 0.750 0.750 0.098
O1 0.250 0.750 0.500
O2 0.750 0.250 0.500